Record 1
Below is a relaxed SrMnCl2 crystal, with properties calculated at the GGA-PBE level.

Summary:
The total DFT energy (no corrections) is -18.39 eV for the cell shown. The relative energy among the computed polymorphs comes out at 18 meV/atom. Its crystal system is monoclinic.

```
data_SrMnCl2
_chemical_formula_sum 'Sr1 Mn1 Cl2'
_symmetry_space_group_name_H-M 'P 1'
_symmetry_Int_Tables_number 1
_cell_length_a 4.099
_cell_length_b 6.194
_cell_length_c 6.358
_cell_angle_alpha 54.73
_cell_angle_beta 90.00
_cell_angle_gamma 90.00
loop_
_symmetry_equiv_pos_as_xyz
'x,y,z'
loop_
_atom_site_label
_atom_site_fract_x
_atom_site_fract_y
_atom_site_fract_z
Sr1 0.500 0.730 0.767
Cl1 0.000 0.911 0.960
Cl2 0.500 0.309 0.338
Mn1 0.000 0.550 0.435
```

Record 2
Below is a relaxed SrMnCl2 crystal, with properties calculated at the GGA-PBE level.

Summary:
The total DFT energy (no corrections) is -17.59 eV for the cell shown. The relative energy among the computed polymorphs comes out at 218 meV/atom. Its crystal system is trigonal.

```
data_SrMnCl2
_chemical_formula_sum 'Sr1 Mn1 Cl2'
_symmetry_space_group_name_H-M 'P 1'
_symmetry_Int_Tables_number 1
_cell_length_a 8.959
_cell_length_b 8.959
_cell_length_c 8.959
_cell_angle_alpha 25.54
_cell_angle_beta 25.54
_cell_angle_gamma 25.54
loop_
_symmetry_equiv_pos_as_xyz
'x,y,z'
loop_
_atom_site_label
_atom_site_fract_x
_atom_site_fract_y
_atom_site_fract_z
Cl1 0.116 0.116 0.116
Cl2 0.884 0.884 0.884
Mn1 0.500 0.500 0.500
Sr1 0.000 0.000 0.000
```

Record 3
Below is a relaxed SrMn2Cl8 crystal, with properties calculated at the GGA-PBE level.

Summary:
The total DFT energy (no corrections) is -49.07 eV for the cell shown. Its crystal system is triclinic.

```
data_SrMn2Cl8
_chemical_formula_sum 'Sr1 Mn2 Cl8'
_symmetry_space_group_name_H-M 'P 1'
_symmetry_Int_Tables_number 1
_cell_length_a 6.978
_cell_length_b 7.691
_cell_length_c 7.668
_cell_angle_alpha 120.48
_cell_angle_beta 94.20
_cell_angle_gamma 89.63
loop_
_symmetry_equiv_pos_as_xyz
'x,y,z'
loop_
_atom_site_label
_atom_site_fract_x
_atom_site_fract_y
_atom_site_fract_z
Cl1 0.721 0.821 0.639
Cl2 0.279 0.179 0.361
Cl3 0.217 0.099 0.741
Cl4 0.224 0.642 0.747
Cl5 0.153 0.609 0.229
Cl6 0.847 0.391 0.771
Cl7 0.783 0.901 0.259
Cl8 0.776 0.358 0.253
Mn1 0.873 0.674 0.349
Mn2 0.127 0.326 0.651
Sr1 0.000 0.000 0.000
```

Record 4
Below is a relaxed SrMn3Cl9 crystal, with properties calculated at the GGA-PBE level.

Summary:
The total DFT energy (no corrections) is -125.63 eV for the cell shown. Its crystal system is monoclinic.

```
data_SrMn3Cl9
_chemical_formula_sum 'Sr2 Mn6 Cl18'
_symmetry_space_group_name_H-M 'P 1'
_symmetry_Int_Tables_number 1
_cell_length_a 9.169
_cell_length_b 10.530
_cell_length_c 11.204
_cell_angle_alpha 74.43
_cell_angle_beta 65.85
_cell_angle_gamma 64.19
loop_
_symmetry_equiv_pos_as_xyz
'x,y,z'
loop_
_atom_site_label
_atom_site_fract_x
_atom_site_fract_y
_atom_site_fract_z
Cl1 0.478 0.514 0.289
Cl2 0.263 0.857 0.083
Cl3 0.075 0.574 0.528
Cl4 0.042 0.554 0.241
Cl5 0.874 0.430 0.861
Cl6 0.318 0.879 0.397
Cl7 0.823 0.074 0.028
Cl8 0.163 0.054 0.741
Cl9 0.107 0.733 0.796
Cl10 0.005 0.238 0.169
Cl11 0.797 0.357 0.583
Cl12 0.365 0.233 0.296
Cl13 0.719 0.014 0.789
Cl14 0.406 0.379 0.897
Cl15 0.836 0.930 0.361
Cl16 0.452 0.240 0.590
Cl17 0.718 0.740 0.090
Cl18 0.588 0.738 0.669
Mn1 0.819 0.530 0.668
Mn2 0.585 0.258 0.716
Mn3 0.441 0.758 0.216
Mn4 0.241 0.458 0.341
Mn5 0.960 0.958 0.841
Mn6 0.983 0.030 0.168
Sr1 0.473 0.993 0.500
Sr2 0.033 0.493 0.000
```

Record 5
Below is a relaxed SrMn2Cl crystal, with properties calculated at the GGA-PBE level.

Summary:
The total DFT energy (no corrections) is -20.34 eV for the cell shown. The relative energy among the computed polymorphs comes out at 463 meV/atom. Its crystal system is orthorhombic.

```
data_SrMn2Cl
_chemical_formula_sum 'Sr1 Mn2 Cl1'
_symmetry_space_group_name_H-M 'P 1'
_symmetry_Int_Tables_number 1
_cell_length_a 3.423
_cell_length_b 3.423
_cell_length_c 9.003
_cell_angle_alpha 90.00
_cell_angle_beta 90.00
_cell_angle_gamma 108.62
loop_
_symmetry_equiv_pos_as_xyz
'x,y,z'
loop_
_atom_site_label
_atom_site_fract_x
_atom_site_fract_y
_atom_site_fract_z
Cl1 0.500 0.500 0.750
Mn1 0.000 0.000 0.962
Mn2 0.000 0.000 0.538
Sr1 0.500 0.500 0.250
```

Record 6
Below is a relaxed SrMn2Cl crystal, with properties calculated at the GGA-PBE level.

Summary:
The total DFT energy (no corrections) is -20.52 eV for the cell shown. The relative energy among the computed polymorphs comes out at 418 meV/atom. Its crystal system is tetragonal.

```
data_SrMn2Cl
_chemical_formula_sum 'Sr1 Mn2 Cl1'
_symmetry_space_group_name_H-M 'P 1'
_symmetry_Int_Tables_number 1
_cell_length_a 5.166
_cell_length_b 5.166
_cell_length_c 5.166
_cell_angle_alpha 119.95
_cell_angle_beta 119.95
_cell_angle_gamma 90.08
loop_
_symmetry_equiv_pos_as_xyz
'x,y,z'
loop_
_atom_site_label
_atom_site_fract_x
_atom_site_fract_y
_atom_site_fract_z
Sr1 0.500 0.500 0.000
Cl1 0.750 0.250 0.500
Mn1 0.000 0.000 0.000
Mn2 0.250 0.750 0.500
```

Record 7
Below is a relaxed SrMn2Cl crystal, with properties calculated at the GGA-PBE level.

Summary:
The total DFT energy (no corrections) is -20.30 eV for the cell shown. The relative energy among the computed polymorphs comes out at 474 meV/atom. Its crystal system is tetragonal.

```
data_SrMn2Cl
_chemical_formula_sum 'Sr1 Mn2 Cl1'
_symmetry_space_group_name_H-M 'P 1'
_symmetry_Int_Tables_number 1
_cell_length_a 3.370
_cell_length_b 3.370
_cell_length_c 8.651
_cell_angle_alpha 90.00
_cell_angle_beta 90.00
_cell_angle_gamma 90.00
loop_
_symmetry_equiv_pos_as_xyz
'x,y,z'
loop_
_atom_site_label
_atom_site_fract_x
_atom_site_fract_y
_atom_site_fract_z
Sr1 0.500 0.500 0.250
Mn1 0.000 0.000 0.964
Mn2 0.000 0.000 0.536
Cl1 0.500 0.500 0.750
```

Record 8
Below is a relaxed SrMnCl2 crystal, with properties calculated at the GGA-PBE level.

Summary:
The total DFT energy (no corrections) is -17.93 eV for the cell shown. The relative energy among the computed polymorphs comes out at 132 meV/atom. Its crystal system is monoclinic.

```
data_SrMnCl2
_chemical_formula_sum 'Sr1 Mn1 Cl2'
_symmetry_space_group_name_H-M 'P 1'
_symmetry_Int_Tables_number 1
_cell_length_a 4.109
_cell_length_b 3.592
_cell_length_c 6.788
_cell_angle_alpha 90.13
_cell_angle_beta 90.00
_cell_angle_gamma 90.00
loop_
_symmetry_equiv_pos_as_xyz
'x,y,z'
loop_
_atom_site_label
_atom_site_fract_x
_atom_site_fract_y
_atom_site_fract_z
Sr1 0.500 0.750 0.750
Mn1 0.500 0.250 0.250
Cl1 0.000 0.251 0.977
Cl2 0.000 0.249 0.523
```

Record 9
Below is a relaxed SrMnCl3 crystal, with properties calculated at the GGA-PBE level.

Summary:
The total DFT energy (no corrections) is -22.65 eV for the cell shown. The relative energy among the computed polymorphs comes out at 0 meV/atom. Its crystal system is cubic.

```
data_SrMnCl3
_chemical_formula_sum 'Sr1 Mn1 Cl3'
_symmetry_space_group_name_H-M 'P 1'
_symmetry_Int_Tables_number 1
_cell_length_a 4.968
_cell_length_b 4.968
_cell_length_c 4.968
_cell_angle_alpha 90.00
_cell_angle_beta 90.00
_cell_angle_gamma 90.00
loop_
_symmetry_equiv_pos_as_xyz
'x,y,z'
loop_
_atom_site_label
_atom_site_fract_x
_atom_site_fract_y
_atom_site_fract_z
Cl1 0.000 0.500 0.000
Cl2 0.500 0.000 0.000
Cl3 0.000 0.000 0.500
Mn1 0.000 0.000 0.000
Sr1 0.500 0.500 0.500
```

Record 10
Below is a relaxed SrMnCl2 crystal, with properties calculated at the GGA-PBE level.

Summary:
The total DFT energy (no corrections) is -17.76 eV for the cell shown. The relative energy among the computed polymorphs comes out at 175 meV/atom. Its crystal system is orthorhombic.

```
data_SrMnCl2
_chemical_formula_sum 'Sr1 Mn1 Cl2'
_symmetry_space_group_name_H-M 'P 1'
_symmetry_Int_Tables_number 1
_cell_length_a 4.890
_cell_length_b 4.890
_cell_length_c 4.093
_cell_angle_alpha 90.00
_cell_angle_beta 90.00
_cell_angle_gamma 89.90
loop_
_symmetry_equiv_pos_as_xyz
'x,y,z'
loop_
_atom_site_label
_atom_site_fract_x
_atom_site_fract_y
_atom_site_fract_z
Cl1 0.500 0.500 0.000
Cl2 0.000 0.000 0.000
Mn1 0.500 0.000 0.500
Sr1 0.000 0.500 0.500
```

Number 1: E_form (uncorrected) -961 meV per atom, size of the total moment 5.00 μB/cell, V 32.94 Å³/atom. Number 2: E_form (uncorrected) -762 meV per atom, size of the total moment 4.51 μB/cell, V 29.43 Å³/atom. Number 3: E_form (uncorrected) -1298 meV per atom, size of the total moment 8.00 μB/cell, V 32.13 Å³/atom. Number 4: E_form (uncorrected) -1308 meV per atom, size of the total moment 28.00 μB/cell, V 33.97 Å³/atom. Number 5: E_form (uncorrected) 381 meV per atom, size of the total moment 8.90 μB/cell, V 25.00 Å³/atom. Number 6: E_form (uncorrected) 336 meV per atom, size of the total moment 8.74 μB/cell, V 24.39 Å³/atom. Number 7: E_form (uncorrected) 392 meV per atom, size of the total moment 8.82 μB/cell, V 24.55 Å³/atom. Number 8: E_form (uncorrected) -847 meV per atom, size of the total moment 4.70 μB/cell, V 25.04 Å³/atom. Number 9: E_form (uncorrected) -1251 meV per atom, size of the total moment 4.21 μB/cell, V 24.53 Å³/atom. Number 10: E_form (uncorrected) -804 meV per atom, size of the total moment 4.88 μB/cell, V 24.47 Å³/atom.